Density functional theory data (PBE with a Hubbard U) for TeMoPbO6 after structural relaxation.

Values from the calculation:
- Total DFT energy (no corrections): -6.179 eV/atom

Geometry as CIF:
```
data_TeMoPbO6
_symmetry_space_group_name_H-M 'P 1'
_symmetry_Int_Tables_number 1
_symmetry_space_group_name_Hall 'P 1'
_cell_length_a 5.6642
_cell_length_b 5.6642
_cell_length_c 5.1552
_cell_angle_alpha 90.00
_cell_angle_beta 90.00
_cell_angle_gamma 120.00
loop_
_atom_site_label
_atom_site_type_symbol
_atom_site_fract_x
_atom_site_fract_y
_atom_site_fract_z
Te1 Te 0.0000 0.0000 0.0000
Mo1 Mo 0.6667 0.3333 0.9140
Pb1 Pb 0.3333 0.6667 0.4232
O1 O 0.3333 0.1003 0.1891
O2 O 0.4237 0.4035 0.7547
O3 O 0.5965 0.0202 0.7547
O4 O 0.7670 0.6667 0.1891
O5 O 0.8997 0.2330 0.1891
O6 O 0.9798 0.5763 0.7547
```